Computed, not measured: crystalline K3TeF at its relaxed geometry at the PBE-GGA level of DFT.

POSCAR file:
```
K3TeF
1.0
5.214 -0.002 -0.002
0.006 8.801 0.008
0.002 -3.065 6.718
Te K F
2 6 2
Direct
0.560 0.331 0.768
0.560 0.773 0.487
0.560 0.772 0.986
0.560 0.332 0.269
0.060 0.552 0.627
0.060 0.552 0.127
0.060 0.050 0.400
0.060 0.054 0.855
0.060 0.281 0.242
0.060 0.824 0.012
```

Summary:
Polymorph energy (0 for the lowest one) (meV/atom): 68.6
Energy (eV per atom): -3.32
Space group: P2/m (10)
Formation energy without anion corrections (eV/atom): -1.656


Computed, not measured: crystalline K6Te2F at its relaxed geometry at the PBE-GGA level of DFT.

POSCAR file:
```
K6Te2F
1.0
-2.430 4.260 3.049
-5.484 1.022 -5.799
-1.038 -8.174 5.124
K F Te
6 1 2
Direct
0.500 0.234 0.000
0.842 0.602 0.684
0.500 0.766 0.000
0.158 0.918 0.316
0.158 0.398 0.316
0.842 0.082 0.684
0.000 0.000 0.000
0.664 0.664 0.328
0.336 0.336 0.672
```

Summary:
Energy (eV per atom): -2.75
Space group: Immm (71)
Formation energy without anion corrections (eV/atom): -1.116


Computed, not measured: crystalline K3TeF at its relaxed geometry at the PBE-GGA level of DFT.

POSCAR file:
```
K3TeF
1.0
0.762 3.742 7.410
-2.260 -2.826 7.510
4.856 -2.137 6.430
F K Te
2 6 2
Direct
0.162 0.162 0.162
0.838 0.838 0.838
0.087 0.088 0.568
0.912 0.432 0.913
0.432 0.913 0.912
0.913 0.912 0.432
0.088 0.568 0.087
0.568 0.087 0.088
0.615 0.615 0.615
0.385 0.385 0.385
```

Summary:
Polymorph energy (0 for the lowest one) (meV/atom): 157.7
Energy (eV per atom): -3.23
Space group: R-3m (166)
Formation energy without anion corrections (eV/atom): -1.567


Computed, not measured: crystalline K3TeF at its relaxed geometry at the PBE-GGA level of DFT.

POSCAR file:
```
K3TeF
1.0
-3.710 0.264 -5.296
-1.120 -6.357 0.467
-9.191 -1.498 2.409
K Te F
6 2 2
Direct
0.290 0.290 0.419
0.710 0.710 0.581
0.094 0.828 0.812
0.640 0.906 0.188
0.172 0.906 0.188
0.094 0.360 0.812
0.886 0.386 0.229
0.614 0.114 0.771
0.250 0.750 0.500
0.000 0.000 0.000
```

Summary:
Polymorph energy (0 for the lowest one) (meV/atom): 297.5
Energy (eV per atom): -3.09
Space group: I-4m2 (119)
Formation energy without anion corrections (eV/atom): -1.427


Computed, not measured: crystalline K3TeF at its relaxed geometry at the PBE-GGA level of DFT.

POSCAR file:
```
K3TeF
1.0
3.534 -9.103 0.000
3.534 9.103 0.000
0.000 0.000 6.652
K F Te
6 2 2
Direct
0.550 0.922 0.750
0.000 0.000 0.000
0.000 0.000 0.500
0.450 0.078 0.250
0.078 0.450 0.750
0.922 0.550 0.250
0.903 0.097 0.750
0.097 0.903 0.250
0.651 0.349 0.750
0.349 0.651 0.250
```

Summary:
Polymorph energy (0 for the lowest one) (meV/atom): 219.1
Energy (eV per atom): -3.17
Space group: Cmcm (63)
Formation energy without anion corrections (eV/atom): -1.506


Computed, not measured: crystalline K3TeF at its relaxed geometry at the PBE-GGA level of DFT.

POSCAR file:
```
K3TeF
1.0
3.678 -9.515 0.000
3.678 9.515 0.000
0.000 0.000 6.545
K F Te
6 2 2
Direct
0.926 0.560 0.750
0.074 0.440 0.250
0.000 0.000 0.000
0.440 0.074 0.750
0.000 0.000 0.500
0.560 0.926 0.250
0.600 0.400 0.750
0.400 0.600 0.250
0.157 0.843 0.250
0.843 0.157 0.750
```

Summary:
Polymorph energy (0 for the lowest one) (meV/atom): 371.9
Energy (eV per atom): -3.01
Space group: Cmcm (63)
Formation energy without anion corrections (eV/atom): -1.353


Computed, not measured: crystalline K3TeF at its relaxed geometry at the PBE-GGA level of DFT.

POSCAR file:
```
K3TeF
1.0
-3.863 2.710 3.320
0.082 -5.765 -0.212
6.977 -0.205 8.287
K Te F
6 2 2
Direct
0.000 0.000 0.250
0.667 0.333 0.570
0.667 0.333 0.930
0.333 0.667 0.070
0.333 0.667 0.430
0.000 0.000 0.750
0.667 0.333 0.250
0.333 0.667 0.750
0.000 0.000 0.500
0.000 0.000 0.000
```

Summary:
Polymorph energy (0 for the lowest one) (meV/atom): 168.5
Energy (eV per atom): -3.22
Space group: P6_3/mmc (194)
Formation energy without anion corrections (eV/atom): -1.556


Computed, not measured: crystalline KTeF3 at its relaxed geometry at the PBE-GGA level of DFT.

POSCAR file:
```
KTeF3
1.0
-1.760 -4.241 1.144
0.068 -1.258 -4.561
4.392 -1.680 0.529
Te K F
1 1 3
Direct
0.500 0.500 0.500
0.000 0.000 0.000
0.500 0.000 0.000
0.000 0.500 0.000
0.000 0.000 0.500
```

Summary:
Polymorph energy (0 for the lowest one) (meV/atom): 764.0
Energy (eV per atom): -2.96
Space group: Pm-3m (221)
Formation energy without anion corrections (eV/atom): -0.985


Computed, not measured: crystalline K3TeF at its relaxed geometry at the PBE-GGA level of DFT.

POSCAR file:
```
K3TeF
1.0
6.398 0.000 0.000
0.000 13.273 0.000
0.000 0.000 8.647
F Te K
4 4 12
Direct
0.968 0.750 0.053
0.532 0.250 0.553
0.468 0.750 0.447
0.032 0.250 0.947
0.000 0.000 0.500
0.500 0.500 0.000
0.000 0.500 0.500
0.500 0.000 0.000
0.992 0.403 0.119
0.008 0.903 0.881
0.492 0.403 0.381
0.492 0.097 0.381
0.584 0.750 0.154
0.992 0.097 0.119
0.916 0.250 0.654
0.508 0.903 0.619
0.508 0.597 0.619
0.008 0.597 0.881
0.084 0.750 0.346
0.416 0.250 0.846
```

Summary:
Polymorph energy (0 for the lowest one) (meV/atom): 125.2
Energy (eV per atom): -3.26
Space group: Pnma (62)
Formation energy without anion corrections (eV/atom): -1.600


Computed, not measured: crystalline KTe2F2 at its relaxed geometry at the PBE-GGA level of DFT.

POSCAR file:
```
KTe2F2
1.0
-7.673 3.836 -0.709
-2.166 -5.491 -6.265
-1.201 -2.001 2.169
Te F K
4 4 2
Direct
0.388 0.112 0.500
0.612 0.888 0.500
0.112 0.612 0.500
0.888 0.388 0.500
0.783 0.717 0.000
0.217 0.283 0.000
0.283 0.783 0.000
0.717 0.217 0.000
0.500 0.500 0.000
0.000 0.000 0.000
```

Summary:
Polymorph energy (0 for the lowest one) (meV/atom): 80.5
Energy (eV per atom): -3.27
Space group: P4/mbm (127)
Formation energy without anion corrections (eV/atom): -1.050


Computed, not measured: crystalline K4TeF10 at its relaxed geometry at the PBE-GGA level of DFT.

POSCAR file:
```
K4TeF10
1.0
5.677 0.000 2.564
2.839 6.624 1.282
0.113 0.000 7.319
K F Te
4 10 1
Direct
0.188 0.401 0.223
0.812 0.599 0.777
0.589 0.223 0.599
0.411 0.777 0.401
0.094 0.242 0.944
0.750 0.500 0.500
0.250 0.500 0.500
0.337 0.944 0.758
0.906 0.758 0.056
0.039 0.056 0.242
0.663 0.056 0.242
0.281 0.758 0.056
0.961 0.944 0.758
0.719 0.242 0.944
0.000 0.000 0.000
```

Summary:
Energy (eV per atom): -4.08
Space group: I4/m (87)
Formation energy without anion corrections (eV/atom): -2.331


Computed, not measured: crystalline K3TeF at its relaxed geometry at the PBE-GGA level of DFT.

POSCAR file:
```
K3TeF
1.0
-3.454 2.353 9.382
-3.966 9.296 1.830
-10.084 1.048 1.647
K Te F
12 4 4
Direct
0.225 0.775 0.225
0.025 0.475 0.475
0.475 0.025 0.475
0.475 0.025 0.025
0.775 0.225 0.775
0.225 0.775 0.775
0.225 0.225 0.775
0.775 0.775 0.225
0.025 0.475 0.025
0.775 0.225 0.225
0.475 0.475 0.025
0.025 0.025 0.475
0.625 0.125 0.625
0.625 0.625 0.625
0.625 0.625 0.125
0.125 0.625 0.625
0.125 0.625 0.125
0.125 0.125 0.125
0.625 0.125 0.125
0.125 0.125 0.625
```

Summary:
Polymorph energy (0 for the lowest one) (meV/atom): 314.6
Energy (eV per atom): -3.07
Space group: Fd-3m (227)
Formation energy without anion corrections (eV/atom): -1.410